Entry from Alexandria via LeMat-Bulk: crystalline ZnNiP2O at its relaxed geometry (PBE+U).

```
data_ZnNiP2O
_cell_length_a 4.626
_cell_length_b 4.626
_cell_length_c 3.445
_cell_angle_alpha 90.00
_cell_angle_beta 90.00
_cell_angle_gamma 90.00
_space_group_name_H-M_alt 'P 1'
_space_group_IT_number 1
_space_group_name_Hall 'P 1'
loop_
_atom_site_label
_atom_site_type_symbol
_atom_site_fract_x
_atom_site_fract_y
_atom_site_fract_z
P1 P 0.500 0.000 0.000
Zn1 Zn 0.500 0.500 0.500
Ni1 Ni 0.000 0.000 0.000
O1 O 0.000 0.000 0.500
P2 P 0.000 0.500 0.000
```

Results
Fermi-level density of states   3.6 states/eV/f.u.
Energy above the most stable polymorph in this dataset   0.000 eV per formula unit
Space group   P4/mmm (123)